VASP calculation (PBE-GGA) on a relaxed structure of Ca2MnBe.

The structure in POSCAR format:
```
Ca2MnBe
1.0
1.813 1.046 9.155
-1.813 1.046 9.155
0.000 -2.093 9.155
Ca Mn Be
2 1 1
Direct
0.243 0.243 0.243
0.757 0.757 0.757
0.000 0.000 0.000
0.500 0.500 0.500
```

Calculated values
spin magnetization: 3.87 μB per formula unit
ΔE_f: 0.7335 eV per atom
volume: 26.0 A^3/atom

***

VASP calculation (PBE-GGA) on a relaxed structure of CaMn3Be.

The structure in POSCAR format:
```
CaMn3Be
1.0
4.697 0.000 0.000
0.000 4.697 0.000
0.000 0.000 4.697
Ca Mn Be
1 3 1
Direct
0.000 0.000 0.000
0.000 0.000 0.500
0.000 0.500 0.000
0.500 0.000 0.000
0.500 0.500 0.500
```

Calculated values
spin magnetization: 10.59 μB per formula unit
ΔE_f: 2.1320 eV per atom
volume: 20.7 A^3/atom

***

VASP calculation (PBE-GGA) on a relaxed structure of Ca2MnBe.

The structure in POSCAR format:
```
Ca2MnBe
1.0
4.085 0.000 0.000
0.000 2.242 5.312
0.000 -2.242 5.312
Ca Mn Be
2 1 1
Direct
0.000 0.000 0.000
0.500 0.289 0.289
0.000 0.690 0.690
0.500 0.593 0.593
```

Calculated values
spin magnetization: 2.85 μB per formula unit
ΔE_f: 0.3339 eV per atom
volume: 24.3 A^3/atom

***

VASP calculation (PBE-GGA) on a relaxed structure of Ca2MnBe.

The structure in POSCAR format:
```
Ca2MnBe
1.0
0.000 3.518 3.518
3.518 0.000 3.518
3.518 3.518 0.000
Ca Mn Be
2 1 1
Direct
0.000 0.000 0.000
0.250 0.250 0.250
0.500 0.500 0.500
0.750 0.750 0.750
```

Calculated values
spin magnetization: 4.39 μB per formula unit
ΔE_f: 0.5618 eV per atom
volume: 21.8 A^3/atom

***

VASP calculation (PBE-GGA) on a relaxed structure of Ca2MnBe.

The structure in POSCAR format:
```
Ca2MnBe
1.0
3.300 0.000 0.000
0.000 3.300 0.000
0.000 0.000 8.393
Ca Mn Be
2 1 1
Direct
0.000 0.000 0.000
0.500 0.500 0.391
0.000 0.000 0.654
0.500 0.500 0.746
```

Calculated values
spin magnetization: 3.03 μB per formula unit
ΔE_f: 0.3240 eV per atom
volume: 22.9 A^3/atom

***

VASP calculation (PBE-GGA) on a relaxed structure of Ca2MnBe.

The structure in POSCAR format:
```
Ca2MnBe
1.0
-1.758 2.473 5.305
1.758 -2.473 5.305
1.758 2.473 -5.305
Ca Mn Be
2 1 1
Direct
0.000 0.000 0.000
0.711 0.211 0.500
0.304 0.804 0.500
0.446 0.446 0.000
```

Calculated values
spin magnetization: 2.83 μB per formula unit
ΔE_f: 0.3816 eV per atom
volume: 23.1 A^3/atom

***

VASP calculation (PBE-GGA) on a relaxed structure of Ca2MnBe.

The structure in POSCAR format:
```
Ca2MnBe
1.0
3.598 0.000 0.000
0.000 3.598 0.000
0.000 0.000 7.214
Ca Mn Be
2 1 1
Direct
0.000 0.000 0.237
0.000 0.000 0.763
0.500 0.500 0.500
0.500 0.500 0.000
```

Calculated values
spin magnetization: 3.74 μB per formula unit
ΔE_f: 0.4820 eV per atom
volume: 23.3 A^3/atom

***

VASP calculation (PBE-GGA) on a relaxed structure of CaMn2BeNb.

The structure in POSCAR format:
```
CaMn2BeNb
1.0
4.222 0.000 0.000
0.000 4.222 0.000
0.000 0.000 4.749
Ca Mn Be Nb
1 2 1 1
Direct
0.000 0.000 0.000
0.000 0.500 0.000
0.500 0.000 0.000
0.500 0.500 0.500
0.000 0.000 0.500
```

Calculated values
spin magnetization: 0.00 μB per formula unit
ΔE_f: 2.5884 eV per atom
volume: 16.9 A^3/atom

***

VASP calculation (PBE-GGA) on a relaxed structure of CaMnBe2Ni.

The structure in POSCAR format:
```
CaMnBe2Ni
1.0
4.635 0.000 0.000
0.000 4.635 0.000
0.000 0.000 4.500
Ca Mn Be Ni
1 1 2 1
Direct
0.000 0.000 0.000
0.000 0.000 0.500
0.000 0.500 0.000
0.500 0.000 0.000
0.500 0.500 0.500
```

Calculated values
spin magnetization: 2.37 μB per formula unit
ΔE_f: 2.2957 eV per atom
volume: 19.3 A^3/atom

***

VASP calculation (PBE-GGA) on a relaxed structure of CaMnBeP2.

The structure in POSCAR format:
```
CaMnBeP2
1.0
-1.823 1.823 5.945
1.823 -1.823 5.945
1.823 1.823 -5.945
Ca Mn Be P
1 1 1 2
Direct
0.000 0.000 0.000
0.750 0.250 0.500
0.250 0.750 0.500
0.364 0.364 0.000
0.636 0.636 0.000
```

Calculated values
spin magnetization: 2.48 μB per formula unit
ΔE_f: -0.6190 eV per atom
volume: 15.8 A^3/atom

***

VASP calculation (PBE-GGA) on a relaxed structure of CaYMn2Be.

The structure in POSCAR format:
```
CaYMn2Be
1.0
4.375 0.000 0.000
0.000 4.375 0.000
0.000 0.000 5.065
Ca Y Mn Be
1 1 2 1
Direct
0.000 0.000 0.000
0.000 0.000 0.500
0.000 0.500 0.000
0.500 0.000 0.000
0.500 0.500 0.500
```

Calculated values
spin magnetization: 0.24 μB per formula unit
ΔE_f: 2.2645 eV per atom
volume: 19.4 A^3/atom

***

VASP calculation (PBE-GGA) on a relaxed structure of Ca2ZrMnBe.

The structure in POSCAR format:
```
Ca2ZrMnBe
1.0
5.152 0.000 0.000
0.000 5.152 0.000
0.000 0.000 4.883
Ca Zr Mn Be
2 1 1 1
Direct
0.000 0.500 0.000
0.500 0.000 0.000
0.000 0.000 0.500
0.500 0.500 0.500
0.000 0.000 0.000
```

Calculated values
spin magnetization: 0.58 μB per formula unit
ΔE_f: 1.1874 eV per atom
volume: 25.9 A^3/atom

***

VASP calculation (PBE-GGA) on a relaxed structure of CaBe3Mo.

The structure in POSCAR format:
```
CaBe3Mo
1.0
4.450 0.000 0.000
0.000 4.450 0.000
0.000 0.000 4.450
Ca Be Mo
1 3 1
Direct
0.000 0.000 0.000
0.000 0.500 0.500
0.500 0.000 0.500
0.500 0.500 0.000
0.500 0.500 0.500
```

Calculated values
spin magnetization: 0.00 μB per formula unit
ΔE_f: 0.6904 eV per atom
volume: 17.6 A^3/atom

***

VASP calculation (PBE-GGA) on a relaxed structure of CaBeMo2.

The structure in POSCAR format:
```
CaBeMo2
1.0
-1.697 2.448 4.235
1.697 -2.448 4.235
1.697 2.448 -4.235
Ca Be Mo
1 1 2
Direct
0.000 0.000 0.000
0.272 0.772 0.500
0.501 0.501 0.000
0.716 0.216 0.500
```

Calculated values
spin magnetization: 0.00 μB per formula unit
ΔE_f: 0.7104 eV per atom
volume: 17.6 A^3/atom

***

VASP calculation (PBE-GGA) on a relaxed structure of Ca2BeMo.

The structure in POSCAR format:
```
Ca2BeMo
1.0
-2.117 2.117 4.617
2.117 -2.117 4.617
2.117 2.117 -4.617
Ca Be Mo
2 1 1
Direct
0.250 0.750 0.500
0.750 0.250 0.500
0.000 0.000 0.000
0.500 0.500 0.000
```

Calculated values
spin magnetization: 0.51 μB per formula unit
ΔE_f: 0.8766 eV per atom
volume: 20.7 A^3/atom

***

VASP calculation (PBE-GGA) on a relaxed structure of Ca3BeMo.

The structure in POSCAR format:
```
Ca3BeMo
1.0
5.441 0.000 0.000
0.000 5.441 0.000
0.000 0.000 5.441
Ca Be Mo
3 1 1
Direct
0.000 0.000 0.500
0.000 0.500 0.000
0.500 0.000 0.000
0.500 0.500 0.500
0.000 0.000 0.000
```

Calculated values
spin magnetization: 0.02 μB per formula unit
ΔE_f: 1.2261 eV per atom
volume: 32.2 A^3/atom

***

VASP calculation (PBE-GGA) on a relaxed structure of Ca2BeMo.

The structure in POSCAR format:
```
Ca2BeMo
1.0
3.045 0.000 0.000
0.000 3.045 0.000
0.000 0.000 9.065
Ca Be Mo
2 1 1
Direct
0.000 0.000 0.235
0.000 0.000 0.765
0.500 0.500 0.000
0.500 0.500 0.500
```

Calculated values
spin magnetization: 0.11 μB per formula unit
ΔE_f: 0.7764 eV per atom
volume: 21.0 A^3/atom

***

VASP calculation (PBE-GGA) on a relaxed structure of CaBeMo2.

The structure in POSCAR format:
```
CaBeMo2
1.0
4.393 -1.369 0.000
4.393 1.369 0.000
-0.365 0.000 6.072
Ca Be Mo
1 1 2
Direct
0.000 0.000 0.000
0.247 0.247 0.677
0.520 0.520 0.516
0.766 0.766 0.331
```

Calculated values
spin magnetization: 0.00 μB per formula unit
ΔE_f: 0.5716 eV per atom
volume: 18.3 A^3/atom

***

VASP calculation (PBE-GGA) on a relaxed structure of Ca2BeMo.

The structure in POSCAR format:
```
Ca2BeMo
1.0
3.322 0.000 0.000
0.000 3.322 0.000
0.000 0.000 8.409
Ca Be Mo
2 1 1
Direct
0.000 0.000 0.000
0.500 0.500 0.395
0.500 0.500 0.731
0.000 0.000 0.659
```

Calculated values
spin magnetization: 0.00 μB per formula unit
ΔE_f: 0.4253 eV per atom
volume: 23.2 A^3/atom

***

VASP calculation (PBE-GGA) on a relaxed structure of Ca2BeMo.

The structure in POSCAR format:
```
Ca2BeMo
1.0
3.027 -4.687 0.000
3.027 4.687 0.000
0.000 0.000 2.995
Ca Be Mo
2 1 1
Direct
0.000 0.500 0.000
0.500 0.000 0.000
0.000 0.000 0.500
0.500 0.500 0.500
```

Calculated values
spin magnetization: 0.00 μB per formula unit
ΔE_f: 0.8791 eV per atom
volume: 21.2 A^3/atom